DFT (PBE) results for a relaxed ZrSO3 crystal.

Cell: 4.124 4.124 4.124 Å, 90.00 90.00 90.00°
Element x y z (fractional)
Zr: 0.000 0.000 0.000
S: 0.500 0.500 0.500
O: 0.000 0.000 0.500
O: 0.000 0.500 0.000
O: 0.500 0.000 0.000

The total magnetic moment comes out at 0.00 μB/f.u. The volume comes out at 70.1 Å³/cell. The uncorrected formation energy is -106.0 kJ per mole of atoms. The value obtained for the total energy is -6.61 eV per atom. The calculation puts the density of states at the Fermi level at 2.78 states/eV per cell. The crystal system is cubic.